The following is a DFT calculation (PBE-GGA) of a relaxed structure of Ac4CoAsCl2.

Unit cell a=7.885 b=4.240 c=8.004 alpha=90.00 beta=107.38 gamma=90.00
Space group P2/m (No. 10)
Inequivalent atoms, fractional coordinates:
Ac1 0.203 0.000 0.209 [2 per cell]
Ac2 0.223 0.500 0.754 [2 per cell]
Co1 0.000 0.500 0.000 [1 per cell]
As1 0.000 0.000 0.500 [1 per cell]
Cl1 0.500 0.000 0.000 [1 per cell]
Cl2 0.500 0.500 0.500 [1 per cell]

## Properties
The value obtained for the uncorrected formation energy is -1.14 eV per atom. As for the electronic total energy: -41.0 eV per formula unit.